Below is a relaxed structure of NbRuAuC2, with properties calculated at the PBE level.

Unit cell a=3.906 b=5.273 c=3.906 alpha=90.00 beta=90.00 gamma=90.00
Last column: magnetic moment on the atom in μB.
Fractional positions:
Ru: 0.000 0.000 0.000  0.13
Nb: 0.500 0.500 0.500  1.35
Au: 0.000 0.500 0.000  0.06
C: 0.000 0.000 0.500  -0.02
C: 0.500 0.000 0.000  0.01

Properties
* symmetry: P4/mmm (123)
* total moment: 1.79 μB/cell
* E_form: 1633 meV per atom